VASP calculation (PBE) on a geometry-optimized TlCdH8Ir2 structure.

Calculated values
Its volume is 142.4 Å³ per cell. For the calculated total energy, the calculation gives -46.4 eV/cell. As for the magnetic moment: 0.00 μB/cell. For the density, the calculation gives 8.269 g cm⁻³.

a b c (Å): 4.945 4.945 7.306
angles (deg): 70.22 70.22 60.00
Fractional coordinates of all 12 atoms:
Ir 0.693 0.693 0.920
Ir 0.307 0.307 0.080
H 0.225 0.225 0.326
H 0.526 0.099 0.852
H 0.474 0.901 0.148
H 0.099 0.523 0.852
H 0.775 0.775 0.674
H 0.477 0.474 0.148
H 0.523 0.526 0.852
H 0.901 0.477 0.148
Cd 0.000 0.000 0.000
Tl 0.500 0.500 0.500